A plane-wave DFT calculation with GGA-PBE was carried out for crystalline MoPRu2 at its relaxed geometry.

Cell lengths 3.983, 2.826, 5.138 Å; angles 75.04, 90.00, 90.00 degrees
Fractional positions:
Mo: 0.500 0.500 0.000
Ru: 0.000 0.138 0.734
Ru: 0.000 0.862 0.266
P: 0.500 0.500 0.500

DOS(E_F), states/eV/atom: 0.61
E_tot, eV per cell: -35.4
ΔH_f (0 K), meV/atom: -157.4
Crystal system: monoclinic
V, A^3/atom: 14.0